## EuDy3Fe (GGA-PBE)

Data for EuDy3Fe after structural relaxation.

Output
- crystal system = cubic
- formation enthalpy at 0 K (eV/atom) = 0.0571
- Fermi-level density of states (states/eV/f.u.) = 4.24

Structure (CIF):
```
data_EuDy3Fe
_space_group_name_H-M_alt 'P m -3 m'
_space_group_IT_number 221
_space_group_name_Hall '-P 4 2 3'
_cell_length_a 5.328
_cell_length_b 5.328
_cell_length_c 5.328
_cell_angle_alpha 90.00
_cell_angle_beta 90.00
_cell_angle_gamma 90.00
loop_
_atom_site_label
_atom_site_fract_x
_atom_site_fract_y
_atom_site_fract_z
Eu1 0.000 0.000 0.000
Dy1 0.000 0.500 0.500
Fe1 0.500 0.500 0.500
```